# Li2Cu5Pd5 | Alexandria | PBE-GGA | relaxed
# - energy of formation from the pure elements (eV/atom) = -0.195
# - SG = C2/m (12)
data_Li2Cu5Pd5
_chemical_formula_sum 'Li2 Cu5 Pd5'
_cell_length_a 6.179
_cell_length_b 6.179
_cell_length_c 8.669
_cell_angle_alpha 116.47
_cell_angle_beta 116.47
_cell_angle_gamma 33.76
_space_group_name_H-M_alt 'P 1'
_space_group_IT_number 1
loop_
_space_group_symop_operation_xyz
'x,y,z'
loop_
_atom_site_label
_atom_site_type_symbol
_atom_site_fract_x
_atom_site_fract_y
_atom_site_fract_z
Li1 Li 0.081 0.081 0.247
Li2 Li 0.919 0.919 0.753
Cu1 Cu 0.000 0.000 0.500
Cu2 Cu 0.171 0.171 0.004
Cu3 Cu 0.252 0.252 0.753
Cu4 Cu 0.748 0.748 0.247
Cu5 Cu 0.829 0.829 0.996
Pd1 Pd 0.337 0.337 0.504
Pd2 Pd 0.410 0.410 0.244
Pd3 Pd 0.500 0.500 0.000
Pd4 Pd 0.590 0.590 0.756
Pd5 Pd 0.663 0.663 0.496

# LiCu3Pd12 | Alexandria | PBE-GGA | relaxed
# - energy of formation from the pure elements (eV/atom) = -0.109
# - SG = P4/mmm (123)
data_LiCu3Pd12
_chemical_formula_sum 'Li1 Cu3 Pd12'
_cell_length_a 3.889
_cell_length_b 3.889
_cell_length_c 15.543
_cell_angle_alpha 90.00
_cell_angle_beta 90.00
_cell_angle_gamma 90.00
_space_group_name_H-M_alt 'P 1'
_space_group_IT_number 1
loop_
_space_group_symop_operation_xyz
'x,y,z'
loop_
_atom_site_label
_atom_site_type_symbol
_atom_site_fract_x
_atom_site_fract_y
_atom_site_fract_z
Li1 Li 0.000 0.000 0.000
Cu1 Cu 0.000 0.000 0.250
Cu2 Cu 0.000 0.000 0.500
Cu3 Cu 0.000 0.000 0.750
Pd1 Pd 0.000 0.500 0.126
Pd2 Pd 0.000 0.500 0.375
Pd3 Pd 0.000 0.500 0.625
Pd4 Pd 0.000 0.500 0.874
Pd5 Pd 0.500 0.000 0.126
Pd6 Pd 0.500 0.000 0.375
Pd7 Pd 0.500 0.000 0.625
Pd8 Pd 0.500 0.000 0.874
Pd9 Pd 0.500 0.500 0.000
Pd10 Pd 0.500 0.500 0.250
Pd11 Pd 0.500 0.500 0.500
Pd12 Pd 0.500 0.500 0.750

| no. | N(E_F) (states/eV/f.u.) |
| --- | --- |
| 1 | 5.05 |
| 2 | 17.09 |